CaAc3Nd2Se6 | GGA-PBE | relaxed

formation energy from raw total energies	-1867	meV/atom
E	-0.411	Ry per atom

a = 7.522 Å, b = 7.522 Å, c = 7.530 Å
α = 99.53°, β = 99.53°, γ = 120.06°
Fractional positions:
Ac: 0.500 0.500 0.500
Ac: 0.832 0.168 0.500
Ac: 0.168 0.832 0.500
Se: 0.077 0.405 0.232
Se: 0.751 0.751 0.233
Se: 0.249 0.249 0.767
Se: 0.595 0.923 0.768
Se: 0.923 0.595 0.768
Se: 0.405 0.077 0.232
Nd: 0.667 0.333 0.000
Nd: 0.333 0.667 0.000
Ca: 0.000 0.000 0.000